# NdHoSc2As4, relaxed, DFT PBE
# DFT formation energy ... -1.422 eV/atom
data_NdHoSc2As4
_chemical_formula_sum 'Nd1 Ho1 Sc2 As4'
_cell_length_a 6.975
_cell_length_b 4.046
_cell_length_c 7.001
_cell_angle_alpha 90.00
_cell_angle_beta 109.56
_cell_angle_gamma 90.00
_space_group_name_H-M_alt 'P 1'
_space_group_IT_number 1
loop_
_space_group_symop_operation_xyz
'x,y,z'
loop_
_atom_site_label
_atom_site_fract_x
_atom_site_fract_y
_atom_site_fract_z
Nd1 0.000 0.000 0.000
Ho1 0.000 0.500 0.500
Sc1 0.500 0.000 0.500
Sc2 0.500 0.500 0.000
As1 0.267 0.000 0.751
As2 0.271 0.500 0.262
As3 0.729 0.500 0.738
As4 0.733 0.000 0.249